1.
{"formula": "Tb6Sm3Ho2Pb", "functional": "PBE-GGA", "state": "optimized geometry", "formation_enthalpy_0k_ev_per_fu": -0.6, "total_magnetization_mub_per_cell": 0.00, "cell": [[3.0742, -5.3305, 0.0000], [3.0742, 5.3305, 0.0000], [-2.0769, 0.0000, 11.5174]], "species": ["Tb", "Tb", "Tb", "Tb", "Tb", "Tb", "Sm", "Sm", "Sm", "Ho", "Ho", "Pb"], "frac_coords": [[0.0806, 0.4083, 0.2450], [0.2472, 0.2472, 0.7527], [0.4083, 0.0806, 0.2450], [0.5917, 0.9194, 0.7550], [0.7528, 0.7528, 0.2473], [0.9194, 0.5917, 0.7550], [0.1681, 0.8319, 0.5000], [0.5000, 0.5000, 0.5000], [0.8319, 0.1681, 0.5000], [0.3345, 0.6655, 0.0000], [0.6655, 0.3345, 0.0000], [0.0000, 0.0000, 0.0000]]}

***

2.
{"formula": "Sc4GaPdAu2", "functional": "PBE-GGA", "state": "optimized geometry", "formation_enthalpy_0k_ev_per_fu": -6.2, "total_magnetization_mub_per_cell": 0.00, "cell": [[2.3876, 1.3785, 7.7915], [-2.3876, 1.3785, 7.7915], [0.0000, -2.7569, 7.7915]], "species": ["Sc", "Sc", "Sc", "Sc", "Ga", "Pd", "Au", "Au"], "frac_coords": [[0.1222, 0.1222, 0.1222], [0.3730, 0.3730, 0.3730], [0.6270, 0.6270, 0.6270], [0.8778, 0.8778, 0.8778], [0.5000, 0.5000, 0.5000], [0.0000, 0.0000, 0.0000], [0.2456, 0.2456, 0.2456], [0.7544, 0.7544, 0.7544]]}

***

3.
{"formula": "Er3TmNi8", "functional": "PBE-GGA", "state": "optimized geometry", "formation_enthalpy_0k_ev_per_fu": -5.8, "total_magnetization_mub_per_cell": 0.00, "cell": [[2.5144, 1.4517, 8.2365], [-2.5144, 1.4517, 8.2365], [0.0000, -2.9034, 8.2365]], "species": ["Er", "Er", "Er", "Tm", "Ni", "Ni", "Ni", "Ni", "Ni", "Ni", "Ni", "Ni"], "frac_coords": [[0.0000, 0.0000, 0.0000], [0.1249, 0.1249, 0.1249], [0.5003, 0.5003, 0.5003], [0.6250, 0.6250, 0.6250], [0.0621, 0.5627, 0.5627], [0.0627, 0.0627, 0.5628], [0.0627, 0.5628, 0.0627], [0.3126, 0.3126, 0.3126], [0.5627, 0.0621, 0.5627], [0.5628, 0.0627, 0.0627], [0.5627, 0.5627, 0.0621], [0.8126, 0.8126, 0.8126]]}

***

| no. | Fermi-level density of states (states/eV per atom) | calculated density (g cm⁻³) |
| --- | --- | --- |
| 1 | 1.31 | 8.5 |
| 2 | 0.84 | 8.1 |
| 3 | 0.57 | 10.5 |